Entry 1:
The following is a DFT calculation (PBE-GGA) of a geometry-optimized Rb2TiCu2Se6 structure.

Unit cell a=7.212 b=7.219 c=8.326 alpha=115.71 beta=90.00 gamma=119.97
Fractional coordinates of all 11 atoms:
Cu 0.098 0.195 0.292
Cu 0.902 0.805 0.708
Ti 0.500 0.000 0.500
Se 0.730 0.459 0.737
Se 0.730 0.007 0.737
Se 0.270 0.993 0.263
Rb 0.271 0.541 0.812
Se 0.277 0.007 0.737
Se 0.270 0.541 0.263
Rb 0.729 0.459 0.188
Se 0.723 0.993 0.263

Total magnetic moment, μB/f.u.: 0.00
Raw formation energy, meV/atom: -571

Entry 2:
The following is a DFT calculation (PBE-GGA) of a geometry-optimized Rb2TiCu2Se4 structure.

Unit cell a=3.904 b=8.058 c=7.528 alpha=107.46 beta=105.03 gamma=90.00
Each line ends with the local moment (μB).
Fractional coordinates of all 9 atoms:
Cu 0.683 0.983 0.366  -0.01
Cu 0.317 0.017 0.634  -0.01
Se 0.517 0.788 0.034  -0.01
Rb 0.865 0.435 0.731  0.00
Se 0.188 0.170 0.376  0.00
Ti 0.000 0.000 0.000  0.10
Rb 0.135 0.565 0.269  0.00
Se 0.483 0.212 0.966  -0.01
Se 0.812 0.830 0.624  0.00

Total magnetic moment, μB/f.u.: 0.08
Raw formation energy, meV/atom: -856

Entry 3:
The following is a DFT calculation (PBE-GGA) of a geometry-optimized RbTlCu2Se2 structure.

Unit cell a=5.274 b=8.600 c=8.561 alpha=111.83 beta=90.00 gamma=90.00
Fractional coordinates of all 12 atoms:
Rb 0.750 0.333 0.669
Tl 0.250 0.122 0.876
Cu 0.000 0.232 0.233
Se 0.750 0.373 0.110
Cu 0.000 0.768 0.767
Se 0.750 0.890 0.626
Cu 0.500 0.232 0.233
Tl 0.750 0.878 0.124
Se 0.250 0.627 0.890
Rb 0.250 0.667 0.331
Se 0.250 0.110 0.374
Cu 0.500 0.768 0.767

Total magnetic moment, μB/f.u.: 0.00
Raw formation energy, meV/atom: -470

Entry 4:
The following is a DFT calculation (PBE-GGA) of a geometry-optimized RbTmCuSe2 structure.

Unit cell a=4.531 b=8.073 c=8.137 alpha=97.03 beta=90.00 gamma=90.00
Fractional coordinates of all 10 atoms:
Rb 0.134 0.500 0.750
Tm 0.495 0.000 0.250
Cu 0.000 0.000 0.500
Se 0.353 0.775 0.474
Se 0.647 0.225 0.526
Rb 0.866 0.500 0.250
Tm 0.505 0.000 0.750
Cu 0.000 0.000 0.000
Se 0.353 0.225 0.026
Se 0.647 0.775 0.974

Total magnetic moment, μB/f.u.: 0.00
Raw formation energy, meV/atom: -1000

Entry 5:
The following is a DFT calculation (PBE-GGA) of a geometry-optimized RbTmCuSe3 structure.

Unit cell a=4.036 b=9.425 c=9.894 alpha=112.27 beta=90.00 gamma=90.00
Fractional coordinates of all 12 atoms:
Se 0.750 0.471 0.162
Se 0.750 0.195 0.538
Rb 0.250 0.212 0.240
Se 0.250 0.529 0.838
Se 0.250 0.117 0.857
Cu 0.750 0.916 0.399
Tm 0.750 0.325 0.856
Se 0.250 0.805 0.462
Rb 0.750 0.788 0.760
Se 0.750 0.883 0.143
Tm 0.250 0.675 0.144
Cu 0.250 0.084 0.601

Total magnetic moment, μB/f.u.: 0.00
Raw formation energy, meV/atom: -1180

Entry 6:
The following is a DFT calculation (PBE-GGA) of a geometry-optimized Rb2TmCu2Se4 structure.

Unit cell a=4.037 b=8.216 c=7.801 alpha=107.65 beta=105.00 gamma=90.00
Fractional coordinates of all 9 atoms:
Cu 0.317 0.013 0.635
Se 0.478 0.225 0.955
Rb 0.132 0.555 0.264
Rb 0.868 0.445 0.736
Cu 0.683 0.987 0.365
Se 0.199 0.170 0.399
Tm 0.000 0.000 0.000
Se 0.801 0.830 0.601
Se 0.522 0.775 0.045

Total magnetic moment, μB/f.u.: 0.00
Raw formation energy, meV/atom: -1054

Entry 7:
The following is a DFT calculation (PBE-GGA) of a geometry-optimized RbTm2CuSe4 structure.

Unit cell a=4.101 b=7.398 c=14.340 alpha=90.00 beta=90.00 gamma=106.09
Fractional coordinates of all 16 atoms:
Se 0.261 0.522 0.107
Tm 0.366 0.733 0.564
Rb 0.888 0.776 0.250
Cu 0.164 0.327 0.250
Cu 0.836 0.673 0.750
Se 0.739 0.478 0.893
Tm 0.634 0.267 0.436
Se 0.739 0.478 0.607
Se 0.430 0.860 0.750
Se 0.570 0.140 0.250
Se 0.261 0.522 0.393
Tm 0.366 0.733 0.936
Rb 0.112 0.224 0.750
Se 0.000 0.000 0.500
Tm 0.634 0.267 0.064
Se 0.000 0.000 0.000

Total magnetic moment, μB/f.u.: 0.00
Raw formation energy, meV/atom: -1481

Entry 8:
The following is a DFT calculation (PBE-GGA) of a geometry-optimized Rb2UCuSe4 structure.

Unit cell a=7.163 b=7.163 c=7.163 alpha=100.23 beta=114.28 gamma=114.28
Each line ends with the local moment (μB).
Fractional coordinates of all 8 atoms:
Rb 0.500 0.750 0.250  0.00
Se 0.086 0.230 0.627  -0.07
Se 0.397 0.856 0.770  -0.07
Se 0.914 0.542 0.144  -0.07
Rb 0.000 0.000 0.000  0.00
Cu 0.000 0.500 0.500  -0.11
Se 0.603 0.373 0.458  -0.07
U 0.500 0.250 0.750  1.41

Total magnetic moment, μB/f.u.: 0.96
Raw formation energy, meV/atom: -796

Entry 9:
The following is a DFT calculation (PBE-GGA) of a geometry-optimized RbU2CuSe4 structure.

Unit cell a=4.127 b=7.525 c=14.475 alpha=90.00 beta=90.00 gamma=105.92
Each line ends with the local moment (μB).
Fractional coordinates of all 16 atoms:
Cu 0.165 0.331 0.250  -0.01
U 0.367 0.733 0.940  2.72
Se 0.736 0.471 0.888  -0.05
Se 0.000 0.000 0.500  -0.07
U 0.633 0.267 0.060  2.72
Se 0.574 0.148 0.250  -0.04
U 0.633 0.267 0.440  2.72
Se 0.000 0.000 0.000  -0.07
Cu 0.835 0.669 0.750  -0.01
Se 0.264 0.529 0.388  -0.05
Se 0.426 0.852 0.750  -0.04
Se 0.264 0.529 0.112  -0.05
Rb 0.894 0.787 0.250  0.00
Se 0.736 0.471 0.612  -0.05
Rb 0.106 0.213 0.750  0.00
U 0.367 0.733 0.560  2.72

Total magnetic moment, μB/f.u.: 5.92
Raw formation energy, meV/atom: -1008

Entry 10:
The following is a DFT calculation (PBE-GGA) of a geometry-optimized RbU2Cu2Se6 structure.

Unit cell a=7.468 b=7.911 c=7.971 alpha=122.38 beta=91.31 gamma=60.04
Each line ends with the local moment (μB).
Fractional coordinates of all 11 atoms:
Se 0.807 0.168 0.424  -0.07
U 0.834 0.335 0.833  1.76
Se 0.594 0.218 0.962  -0.07
Se 0.017 0.567 0.821  -0.07
U 0.166 0.665 0.167  1.76
Cu 0.819 0.241 0.176  -0.05
Se 0.406 0.782 0.038  -0.07
Se 0.193 0.832 0.576  -0.07
Rb 0.500 0.000 0.500  0.00
Se 0.983 0.433 0.179  -0.07
Cu 0.181 0.759 0.824  -0.05

Total magnetic moment, μB/f.u.: 3.00
Raw formation energy, meV/atom: -840

Entry 11:
The following is a DFT calculation (PBE-GGA) of a geometry-optimized Rb4U3CuSe8 structure.

Unit cell a=8.405 b=9.355 c=8.463 alpha=116.92 beta=119.77 gamma=90.00
Each line ends with the local moment (μB).
Fractional coordinates of all 16 atoms:
Rb 0.000 0.000 0.000  0.00
Se 0.267 0.312 0.041  -0.06
Se 0.733 0.688 0.959  -0.06
Se 0.774 0.312 0.041  -0.06
Se 0.226 0.688 0.959  -0.06
Cu 0.000 0.500 0.000  -0.05
Se 0.765 0.306 0.530  -0.06
U 0.000 0.500 0.500  2.35
Rb 0.000 0.000 0.500  0.00
Rb 0.500 0.000 0.500  0.00
U 0.500 0.500 0.500  2.35
Rb 0.500 0.000 0.000  0.00
Se 0.733 0.699 0.466  -0.05
Se 0.235 0.694 0.470  -0.06
Se 0.267 0.301 0.534  -0.05
U 0.500 0.500 0.000  2.38

Total magnetic moment, μB/f.u.: 7.00
Raw formation energy, meV/atom: -1074

Entry 12:
The following is a DFT calculation (PBE-GGA) of a geometry-optimized Rb2U2CuSe6 structure.

Unit cell a=7.417 b=7.417 c=8.467 alpha=96.91 beta=96.91 gamma=125.14
Each line ends with the local moment (μB).
Fractional coordinates of all 11 atoms:
U 0.662 0.338 0.500  1.75
Se 0.755 0.755 0.662  -0.06
Rb 0.850 0.150 0.000  0.00
Cu 0.000 0.000 0.500  -0.06
Rb 0.150 0.850 0.000  0.00
Se 0.426 0.051 0.696  -0.08
Se 0.949 0.574 0.304  -0.08
Se 0.574 0.949 0.304  -0.08
U 0.338 0.662 0.500  1.75
Se 0.245 0.245 0.338  -0.06
Se 0.051 0.426 0.696  -0.08

Total magnetic moment, μB/f.u.: 3.00
Raw formation energy, meV/atom: -1017

Entry 13:
The following is a DFT calculation (PBE-GGA) of a geometry-optimized Rb2UCu2Se4 structure.

Unit cell a=4.149 b=8.164 c=7.824 alpha=108.19 beta=105.38 gamma=90.00
Each line ends with the local moment (μB).
Fractional coordinates of all 9 atoms:
Se 0.197 0.166 0.395  -0.04
Rb 0.137 0.565 0.274  0.00
Se 0.480 0.229 0.959  -0.05
Cu 0.321 0.014 0.643  -0.03
Se 0.520 0.771 0.041  -0.05
Cu 0.679 0.986 0.357  -0.03
Rb 0.863 0.435 0.726  0.00
Se 0.803 0.834 0.605  -0.04
U 0.000 0.000 0.000  2.15

Total magnetic moment, μB/f.u.: 2.00
Raw formation energy, meV/atom: -939

Entry 14:
The following is a DFT calculation (PBE-GGA) of a geometry-optimized Rb3U2CuSe6 structure.

Unit cell a=7.466 b=7.466 c=8.256 alpha=97.62 beta=97.62 gamma=123.43
Each line ends with the local moment (μB).
Fractional coordinates of all 12 atoms:
Se 0.577 0.939 0.798  -0.07
Se 0.752 0.752 0.169  -0.05
Rb 0.156 0.844 0.500  0.00
Rb 0.844 0.156 0.500  0.00
Se 0.248 0.248 0.831  -0.05
U 0.665 0.335 0.000  2.15
Se 0.061 0.423 0.202  -0.07
Cu 0.000 0.000 0.000  -0.04
Se 0.423 0.061 0.202  -0.07
Se 0.939 0.577 0.798  -0.07
Rb 0.500 0.500 0.500  0.00
U 0.335 0.665 0.000  2.15

Total magnetic moment, μB/f.u.: 4.00
Raw formation energy, meV/atom: -1036

Entry 15:
The following is a DFT calculation (PBE-GGA) of a geometry-optimized RbU2CuSe5 structure.

Unit cell a=7.915 b=7.915 c=9.186 alpha=115.52 beta=115.52 gamma=90.00
Each line ends with the local moment (μB).
Fractional coordinates of all 18 atoms:
Se 0.000 0.000 0.000  -0.10
Se 0.770 0.980 0.250  -0.08
Se 0.020 0.520 0.750  -0.08
U 0.159 0.341 0.000  2.15
U 0.659 0.159 0.000  2.15
Se 0.730 0.230 0.750  -0.08
Se 0.270 0.770 0.250  -0.08
Cu 0.750 0.250 0.500  -0.06
U 0.341 0.841 0.000  2.15
Se 0.500 0.500 0.000  -0.10
Se 0.230 0.020 0.750  -0.08
Rb 0.750 0.750 0.500  0.00
Rb 0.250 0.250 0.500  0.00
U 0.841 0.659 0.000  2.15
Se 0.980 0.480 0.250  -0.08
Se 0.520 0.730 0.750  -0.08
Se 0.480 0.270 0.250  -0.08
Cu 0.250 0.750 0.500  -0.06

Total magnetic moment, μB/f.u.: 4.00
Raw formation energy, meV/atom: -1025

Entry 16:
The following is a DFT calculation (PBE-GGA) of a geometry-optimized RbVCuSe3 structure.

Unit cell a=3.796 b=8.725 c=9.851 alpha=115.76 beta=90.00 gamma=90.00
Each line ends with the local moment (μB).
Fractional coordinates of all 12 atoms:
V 0.250 0.695 0.167  1.34
Cu 0.750 0.918 0.397  -0.08
Se 0.250 0.763 0.438  -0.08
Se 0.750 0.237 0.562  -0.08
Se 0.750 0.877 0.141  -0.09
Rb 0.250 0.245 0.260  0.00
Se 0.250 0.123 0.859  -0.09
Se 0.750 0.476 0.126  -0.10
Cu 0.250 0.082 0.603  -0.08
Rb 0.750 0.755 0.740  0.00
Se 0.250 0.524 0.874  -0.10
V 0.750 0.305 0.833  1.34

Total magnetic moment, μB/f.u.: 1.04
Raw formation energy, meV/atom: -725

Entry 17:
The following is a DFT calculation (PBE-GGA) of a geometry-optimized Rb2CuWSe4 structure.

Unit cell a=5.697 b=7.753 c=12.763 alpha=85.30 beta=77.10 gamma=68.44
Each line ends with the local moment (μB).
Fractional coordinates of all 16 atoms:
Se 0.894 0.806 0.888  0.02
Se 0.217 0.194 0.888  0.02
Rb 0.570 0.500 0.860  0.00
W 0.500 0.000 0.000  0.67
W 0.250 0.500 0.500  0.67
Rb 0.930 0.500 0.140  0.00
Se 0.451 0.694 0.388  0.02
Cu 0.000 0.000 0.000  0.01
Se 0.533 0.306 0.612  0.02
Se 0.161 0.306 0.388  0.02
Rb 0.820 0.000 0.360  0.00
Cu 0.750 0.500 0.500  0.01
Se 0.856 0.694 0.612  0.02
Se 0.589 0.194 0.112  0.02
Se 0.299 0.806 0.112  0.02
Rb 0.180 0.000 0.640  0.00

Total magnetic moment, μB/f.u.: 1.04
Raw formation energy, meV/atom: -677

Entry 18:
The following is a DFT calculation (PBE-GGA) of a geometry-optimized RbCuWSe4 structure.

Unit cell a=5.649 b=7.659 c=10.610 alpha=90.00 beta=105.48 gamma=90.00
Fractional coordinates of all 14 atoms:
W 0.861 0.250 0.719
Se 0.094 0.997 0.712
Se 0.472 0.750 0.467
Se 0.720 0.250 0.913
Cu 0.638 0.750 0.280
W 0.139 0.750 0.281
Se 0.094 0.503 0.712
Cu 0.362 0.250 0.720
Se 0.906 0.497 0.288
Se 0.906 0.003 0.288
Rb 0.671 0.750 0.860
Se 0.528 0.250 0.533
Rb 0.329 0.250 0.140
Se 0.280 0.750 0.087

Total magnetic moment, μB/f.u.: 0.00
Raw formation energy, meV/atom: -577

Entry 19:
The following is a DFT calculation (PBE-GGA) of a geometry-optimized RbY2CuSe4 structure.

Unit cell a=4.146 b=7.474 c=14.451 alpha=90.00 beta=90.00 gamma=106.10
Fractional coordinates of all 16 atoms:
Rb 0.111 0.221 0.750
Se 0.262 0.523 0.391
Se 0.738 0.477 0.891
Cu 0.838 0.676 0.750
Y 0.634 0.268 0.436
Y 0.366 0.732 0.936
Cu 0.162 0.324 0.250
Se 0.000 0.000 0.500
Se 0.262 0.523 0.109
Se 0.570 0.140 0.250
Se 0.430 0.860 0.750
Se 0.000 0.000 0.000
Rb 0.889 0.779 0.250
Se 0.738 0.477 0.609
Y 0.366 0.732 0.564
Y 0.634 0.268 0.064

Total magnetic moment, μB/f.u.: 0.00
Raw formation energy, meV/atom: -1510

Entry 20:
The following is a DFT calculation (PBE-GGA) of a geometry-optimized RbZnCuSe2 structure.

Unit cell a=6.225 b=6.225 c=7.653 alpha=114.00 beta=90.00 gamma=90.00
Fractional coordinates of all 10 atoms:
Se 0.717 0.895 0.791
Zn 0.500 0.250 0.000
Cu 0.000 0.500 0.000
Rb 0.759 0.250 0.500
Se 0.283 0.395 0.791
Cu 0.000 0.000 0.000
Rb 0.241 0.750 0.500
Se 0.717 0.605 0.209
Se 0.283 0.105 0.209
Zn 0.500 0.750 0.000

Total magnetic moment, μB/f.u.: 0.00
Raw formation energy, meV/atom: -697